Entry from the Alexandria database: a relaxed structure of PPdF2 (PBE).

Cell: 9.7315 9.7315 9.7315 Å, 15.74 15.74 15.74°
Positions (direct):
P: 0.0000 0.0000 0.0000
Pd: 0.5000 0.5000 0.5000
F: 0.9428 0.9428 0.9428
F: 0.0572 0.0572 0.0572

polymorph energy (0 for the lowest one)	0	meV per atom
space-group type	R-3m
E_tot	-0.1630	Ha/atom
raw formation energy	-0.848	eV per atom